No. 1
Compound: HoAl2Ni
Source: the Alexandria database
Functional: PBEsol
Structure: optimized geometry

Cell: 4.015 9.969 6.820 Å, 90.00 90.00 90.00°
Space group Cmcm (No. 63)
Symmetry-distinct sites (fractional):
1 Ho 0.000 0.062 0.250
2 Al 0.000 0.345 0.054
3 Ni 0.000 0.216 0.750

Properties
M_tot: 0.000 μB/f.u.
Crystal system: orthorhombic
Total DFT energy (no corrections): -87.6 eV per cell

***

No. 2
Compound: Ho4Al2O9
Source: the Alexandria database
Functional: PBEsol
Structure: optimized geometry

Cell: 7.277 10.380 11.063 Å, 90.00 108.33 90.00°
Space group P2_1/c (No. 14)
Symmetry-distinct sites (fractional):
1 Ho 0.022 0.097 0.305
2 Ho 0.164 0.619 0.587
3 Ho 0.340 0.126 0.938
4 Ho 0.477 0.612 0.217
5 Al 0.214 0.178 0.627
6 Al 0.345 0.676 0.888
7 O 0.070 0.235 0.478
8 O 0.079 0.507 0.394
9 O 0.210 0.738 0.253
10 O 0.212 0.014 0.652
11 O 0.231 0.240 0.270
12 O 0.304 0.516 0.837
13 O 0.363 0.732 0.041
14 O 0.432 0.242 0.614
15 O 0.437 0.508 0.608

Properties
M_tot: 0.000 μB/f.u.
Crystal system: monoclinic
Formation energy (no corrections): -3455 meV per atom
Total DFT energy (no corrections): -508.2 eV per cell

***

No. 3
Compound: HoAl3Pb2O8
Source: the Alexandria database
Functional: PBEsol
Structure: optimized geometry

Cell: 9.424 9.424 9.424 Å, 90.00 90.00 90.00°
Space group Pn-3m (No. 224, origin choice 2)
Symmetry-distinct sites (fractional):
1 Ho 0.000 0.000 0.000
2 Al 0.000 0.250 0.750
3 Pb 0.116 0.116 0.384
4 O 0.089 0.089 0.766
5 O 0.137 0.137 0.137

Properties
M_tot: 0.000 μB/f.u.
Crystal system: cubic
Formation energy (no corrections): -2574 meV per atom
Total DFT energy (no corrections): -413.0 eV per cell

***

No. 4
Compound: Ho3Sc2Al3O12
Source: the Alexandria database
Functional: PBEsol
Structure: optimized geometry

Cell: 12.253 12.253 12.253 Å, 90.00 90.00 90.00°
Space group Ia-3d (No. 230)
Symmetry-distinct sites (fractional):
1 Ho 0.000 0.250 0.125
2 Sc 0.000 0.000 0.000
3 Al 0.000 0.250 0.375
4 O 0.031 0.058 0.657

Properties
M_tot: 0.000 μB/f.u.
Crystal system: cubic
Formation energy (no corrections): -3455 meV per atom
Total DFT energy (no corrections): -1379.4 eV per cell

***

No. 5
Compound: SrHo2Al2O7
Source: the Alexandria database
Functional: PBEsol
Structure: optimized geometry

Cell: 3.685 3.685 19.284 Å, 90.00 90.00 90.00°
Space group I4/mmm (No. 139)
Symmetry-distinct sites (fractional):
1 Sr 0.000 0.000 0.000
2 Ho 0.000 0.000 0.182
3 Al 0.000 0.000 0.402
4 O 0.000 0.000 0.295
5 O 0.000 0.000 0.500
6 O 0.000 0.500 0.107

Properties
M_tot: 0.000 μB/f.u.
Crystal system: tetragonal
Formation energy (no corrections): -3332 meV per atom
Total DFT energy (no corrections): -193.3 eV per cell

***

No. 6
Compound: Ho2Al9Pd3
Source: the Alexandria database
Functional: PBEsol
Structure: optimized geometry

Cell: 13.089 7.625 9.336 Å, 90.00 90.00 90.00°
Space group Cmcm (No. 63)
Symmetry-distinct sites (fractional):
1 Ho 0.161 0.168 0.250
2 Al 0.000 0.128 0.750
3 Al 0.000 0.332 0.057
4 Al 0.105 0.443 0.750
5 Al 0.168 0.167 0.577
6 Pd 0.000 0.000 0.000
7 Pd 0.172 0.500 0.000

Properties
M_tot: 0.000 μB/f.u.
Crystal system: orthorhombic
Total DFT energy (no corrections): -297.9 eV per cell

***

No. 7
Compound: HoAlPd
Source: the Alexandria database
Functional: PBEsol
Structure: optimized geometry

Cell: 6.803 4.371 7.676 Å, 90.00 90.00 90.00°
Space group Pnma (No. 62)
Symmetry-distinct sites (fractional):
1 Ho 0.032 0.250 0.180
2 Al 0.144 0.250 0.563
3 Pd 0.230 0.750 0.383

Properties
M_tot: 0.000 μB/f.u.
Crystal system: orthorhombic
Total DFT energy (no corrections): -70.7 eV per cell

***

No. 8
Compound: PmHoAl2
Source: the Alexandria database
Functional: PBEsol
Structure: optimized geometry

Cell: 7.183 7.183 7.183 Å, 90.00 90.00 90.00°
Space group Fm-3m (No. 225)
Symmetry-distinct sites (fractional):
1 Pm 0.000 0.000 0.000
2 Ho 0.000 0.000 0.500
3 Al 0.250 0.250 0.250

Properties
M_tot: 0.000 μB/f.u.
Crystal system: cubic
Total DFT energy (no corrections): -79.2 eV per cell

***

No. 9
Compound: PrHoAl4
Source: the Alexandria database
Functional: PBEsol
Structure: optimized geometry

Cell: 7.891 7.891 7.891 Å, 90.00 90.00 90.00°
Space group F-43m (No. 216)
Symmetry-distinct sites (fractional):
1 Pr 0.000 0.000 0.000
2 Ho 0.250 0.250 0.750
3 Al 0.125 0.125 0.375

Properties
M_tot: 0.001 μB/f.u.
Crystal system: cubic
Total DFT energy (no corrections): -118.0 eV per cell

***

No. 10
Compound: HoAlPt
Source: the Alexandria database
Functional: PBEsol
Structure: optimized geometry

Cell: 6.792 4.351 7.675 Å, 90.00 90.00 90.00°
Space group Pnma (No. 62)
Symmetry-distinct sites (fractional):
1 Ho 0.029 0.250 0.181
2 Al 0.145 0.250 0.564
3 Pt 0.230 0.750 0.384

Properties
M_tot: 0.000 μB/f.u.
Crystal system: orthorhombic
Total DFT energy (no corrections): -78.0 eV per cell

***

No. 11
Compound: HoAlRh
Source: the Alexandria database
Functional: PBEsol
Structure: optimized geometry

Cell: 6.792 4.094 7.905 Å, 90.00 90.00 90.00°
Space group Pnma (No. 62)
Symmetry-distinct sites (fractional):
1 Ho 0.038 0.250 0.179
2 Al 0.135 0.250 0.560
3 Rh 0.238 0.750 0.378

Properties
M_tot: 0.000 μB/f.u.
Crystal system: orthorhombic
Total DFT energy (no corrections): -79.7 eV per cell

***

No. 12
Compound: HoScAl2
Source: the Alexandria database
Functional: PBEsol
Structure: optimized geometry

Cell: 6.882 6.882 6.882 Å, 90.00 90.00 90.00°
Space group Fm-3m (No. 225)
Symmetry-distinct sites (fractional):
1 Ho 0.000 0.000 0.000
2 Sc 0.000 0.000 0.500
3 Al 0.250 0.250 0.250

Properties
M_tot: 0.000 μB/f.u.
Crystal system: cubic
Total DFT energy (no corrections): -85.7 eV per cell

***

No. 13
Compound: Ho12Al7Si
Source: the Alexandria database
Functional: PBEsol
Structure: optimized geometry

Cell: 11.439 11.439 14.997 Å, 90.00 90.00 90.00°
Space group I4/mcm (No. 140)
Symmetry-distinct sites (fractional):
1 Ho 0.000 0.500 0.148
2 Ho 0.063 0.200 0.137
3 Ho 0.172 0.328 0.500
4 Al 0.000 0.000 0.000
5 Al 0.118 0.382 0.000
6 Al 0.178 0.322 0.296
7 Si 0.000 0.000 0.250

Properties
M_tot: 0.000 μB/f.u.
Crystal system: tetragonal
Formation energy (no corrections): -372 meV per atom
Total DFT energy (no corrections): -404.9 eV per cell